{
  "formula": "YZr",
  "functional": "meta-GGA SCAN",
  "state": "single point on PBEsol structure",
  "magnetic_moment_mub_per_fu": 0.0,
  "dos_at_fermi_per_ev_cell": 5.4,
  "energy_ev_per_atom": -29.149,
  "relative_energy_ev_per_atom": 0.063,
  "ef_ev_per_atom": 0.122,
  "lattice_angstrom": [[3.298, 0.000, 0.000], [0.000, 3.298, 0.000], [0.000, 0.000, 9.494]],
  "species": ["Y", "Y", "Zr", "Zr"],
  "frac_coords": [[0.250, 0.250, 0.144], [0.750, 0.750, 0.856], [0.250, 0.250, 0.610], [0.750, 0.750, 0.390]]
}